(1)
This record from the Alexandria database describes a geometry-optimized MgW2Se structure. The functional is GGA-PBE.

Summary:
For the total magnetic moment, the calculation gives 0.000 μB per atom. The calculation puts the total energy at -7.23 eV/atom. The energy above the lowest structure with this stoichiometry comes out at 1.33 eV/f.u. The mass density comes out at 11.39 g/cm³.

abc: 5.2211 5.2211 5.2211
angles: 142.94 125.64 67.62
Element x y z (fractional)
Mg1 0.0000 0.0000 0.0000
W1 0.4987 0.4987 0.0000
W2 0.7287 0.2287 0.5000
Se1 0.2597 0.7597 0.5000

---

(2)
This record from the Alexandria database describes a geometry-optimized MgW2Se structure. The functional is GGA-PBE.

Summary:
For the total magnetic moment, the calculation gives 0.000 μB per atom. The calculation puts the total energy at -6.87 eV/atom. The energy above the lowest structure with this stoichiometry comes out at 2.77 eV/f.u. The mass density comes out at 12.00 g/cm³.

abc: 4.6869 4.6869 2.9666
angles: 90.00 90.00 90.00
Element x y z (fractional)
Mg1 0.0000 0.0000 0.0000
W1 0.0000 0.5000 0.5000
W2 0.5000 0.0000 0.5000
Se1 0.5000 0.5000 0.0000

---

- Which value of mass density does entry 1 give?
  11.39 g/cm³

---

- Look up the total magnetic moment of the first one.
  0.000 μB per atom

---

- What is the mass density in the second record?
  12.00 g/cm³